No. 1
The following is a DFT calculation (GGA-PBE) of a relaxed YHfZn crystal.

Cell: 4.796 4.796 4.796 Å, 60.00 60.00 60.00°
Fractional coordinates of all 3 atoms:
Y: 0.000 0.000 0.000
Hf: 0.250 0.250 0.250
Zn: 0.500 0.500 0.500

Summary:
**Magnetic moment**: 0.37 μB per atom
**Relative energy among the computed polymorphs**: 0 meV/atom
**Space-group type**: F-43m, No. 216



No. 2
The following is a DFT calculation (GGA-PBE) of a relaxed YHf2Zn crystal.

Cell: 4.981 4.981 4.981 Å, 60.00 60.00 60.00°
Fractional coordinates of all 4 atoms:
Y: 0.000 0.000 0.000
Hf: 0.500 0.500 0.500
Hf: 0.750 0.750 0.750
Zn: 0.250 0.250 0.250

Summary:
**Magnetic moment**: 0.02 μB per atom
**Space-group type**: F-43m, No. 216
**Uncorrected energy**: -26.937 eV/cell



No. 3
The following is a DFT calculation (GGA-PBE) of a relaxed Y2Hf3Zn2 crystal.

Cell: 7.908 7.908 7.908 Å, 36.59 36.59 36.59°
Fractional coordinates of all 7 atoms:
Y: 0.000 0.000 0.000
Y: 0.434 0.434 0.434
Hf: 0.260 0.260 0.260
Hf: 0.588 0.588 0.588
Hf: 0.856 0.856 0.856
Zn: 0.136 0.136 0.136
Zn: 0.722 0.722 0.722

Summary:
**Magnetic moment**: 0.00 μB per atom
**Space-group type**: R3m, No. 160
**Uncorrected energy**: -46.182 eV/cell



No. 4
The following is a DFT calculation (GGA-PBE) of a relaxed YHfZr crystal.

Cell: 4.996 4.996 4.996 Å, 60.00 60.00 60.00°
Fractional coordinates of all 3 atoms:
Y: 0.000 0.000 0.000
Hf: 0.250 0.250 0.250
Zr: 0.500 0.500 0.500

Summary:
**Magnetic moment**: 0.54 μB per atom
**Relative energy among the computed polymorphs**: 0 meV/atom
**Space-group type**: F-43m, No. 216



No. 5
The following is a DFT calculation (GGA-PBE) of a relaxed HfZn5 crystal.

Cell: 5.116 5.116 4.130 Å, 90.00 90.00 120.00°
Fractional coordinates of all 6 atoms:
Hf: 0.000 0.000 0.000
Zn: 0.000 0.500 0.500
Zn: 0.333 0.667 0.000
Zn: 0.500 0.000 0.500
Zn: 0.500 0.500 0.500
Zn: 0.667 0.333 0.000

Summary:
**Magnetic moment**: 0.00 μB per atom
**Space-group type**: P6/mmm, No. 191
**Uncorrected energy**: -16.581 eV/cell



No. 6
The following is a DFT calculation (GGA-PBE) of a relaxed HfZn2 crystal.

Cell: 7.354 7.354 4.663 Å, 90.00 90.00 156.26°
Fractional coordinates of all 6 atoms:
Hf: 0.104 0.896 0.750
Hf: 0.896 0.104 0.250
Zn: 0.224 0.776 0.250
Zn: 0.436 0.564 0.750
Zn: 0.564 0.436 0.250
Zn: 0.776 0.224 0.750

Summary:
**Magnetic moment**: 0.00 μB per atom
**Space-group type**: Cmcm, No. 63
**Uncorrected energy**: -25.193 eV/cell



No. 7
The following is a DFT calculation (GGA-PBE) of a relaxed HfZn2 crystal.

Cell: 7.600 4.332 12.713 Å, 90.00 103.55 90.00°
Fractional coordinates of all 24 atoms:
Hf: 0.091 0.250 0.218
Hf: 0.174 0.750 0.385
Hf: 0.202 0.250 0.778
Hf: 0.309 0.750 0.153
Hf: 0.691 0.250 0.847
Hf: 0.798 0.750 0.222
Hf: 0.826 0.250 0.615
Hf: 0.909 0.750 0.782
Zn: 0.066 0.250 0.971
Zn: 0.137 0.250 0.525
Zn: 0.137 0.750 0.630
Zn: 0.242 0.750 0.925
Zn: 0.415 0.250 0.019
Zn: 0.426 0.250 0.437
Zn: 0.456 0.250 0.644
Zn: 0.461 0.750 0.764
Zn: 0.539 0.250 0.236
Zn: 0.544 0.750 0.356
Zn: 0.574 0.750 0.563
Zn: 0.585 0.750 0.981
Zn: 0.758 0.250 0.075
Zn: 0.863 0.250 0.370
Zn: 0.863 0.750 0.475
Zn: 0.934 0.750 0.029

Summary:
**Magnetic moment**: 0.00 μB per atom
**Space-group type**: P2_1/m, No. 11
**Uncorrected energy**: -101.401 eV/cell



No. 8
The following is a DFT calculation (GGA-PBE) of a relaxed HfZn2 crystal.

Cell: 5.195 5.195 16.809 Å, 90.00 90.00 120.00°
Fractional coordinates of all 24 atoms:
Hf: 0.000 0.000 0.092
Hf: 0.000 0.000 0.408
Hf: 0.000 0.000 0.592
Hf: 0.000 0.000 0.908
Hf: 0.333 0.667 0.157
Hf: 0.333 0.667 0.343
Hf: 0.667 0.333 0.657
Hf: 0.667 0.333 0.843
Zn: 0.000 0.500 0.000
Zn: 0.000 0.500 0.500
Zn: 0.161 0.322 0.750
Zn: 0.161 0.839 0.750
Zn: 0.322 0.161 0.250
Zn: 0.333 0.667 0.627
Zn: 0.333 0.667 0.873
Zn: 0.500 0.000 0.000
Zn: 0.500 0.000 0.500
Zn: 0.500 0.500 0.000
Zn: 0.500 0.500 0.500
Zn: 0.667 0.333 0.127
Zn: 0.667 0.333 0.373
Zn: 0.678 0.839 0.750
Zn: 0.839 0.161 0.250
Zn: 0.839 0.678 0.250

Summary:
**Magnetic moment**: 0.26 μB per atom
**Space-group type**: P6_3/mmc, No. 194
**Uncorrected energy**: -104.973 eV/cell